Entry 1:
BeTl2Pt at its PBEsol-relaxed geometry, computed with SCAN.

Results
- DOS at the Fermi energy (states/eV/cell) = 1.129
- ΔE to the lowest computed polymorph (meV per atom) = 0
- mass density (g cm⁻³) = 12.1
- energy relative to the elements (meV/atom) = 24
- space-group type = Cm

a b c (Å): 3.5183 5.1552 5.2885
angles (deg): 109.93 90.00 109.95
Closest atoms and distances in Å follow each position.
Atoms (fractional coordinates):
Be  0.5507  0.1015  0.4688  2 Pt 2.16
Tl  0.8360  0.6721  0.6891  1 Be 2.58, 2 Pt 2.78-2.81
Tl  0.1772  0.3543  0.0827  3 Pt 2.81-2.93
Pt  0.9361  0.8721  0.2593  2 Be 2.16

Entry 2:
CsGa9Au5 at its PBEsol-relaxed geometry, computed with SCAN.

Results
- DOS at the Fermi energy (states/eV/cell) = 9.537
- mass density (g cm⁻³) = 9.4
- energy relative to the elements (meV/atom) = -352
- space-group type = P6_3/mmc

a b c (Å): 7.6025 7.6025 12.2605
angles (deg): 90.00 90.00 120.00
Closest atoms and distances in Å follow each position.
Atoms (fractional coordinates):
Cs  0.0000  0.0000  0.0000  6 Au 3.97, 18 Ga 3.99-4.01
Cs  0.0000  0.0000  0.5000  6 Au 3.97, 18 Ga 3.99-4.01
Ga  0.0762  0.5381  0.0960  1 Ga 2.56, 4 Au 2.60-2.78
Ga  0.4619  0.9238  0.0960  1 Ga 2.56, 4 Au 2.60-2.78
Ga  0.4619  0.5381  0.0960  1 Ga 2.56, 4 Au 2.60-2.78
Ga  0.9238  0.4619  0.9040  1 Ga 2.56, 4 Au 2.60-2.78
Ga  0.5381  0.0762  0.9040  1 Ga 2.56, 4 Au 2.60-2.78
Ga  0.5381  0.4619  0.9040  1 Ga 2.56, 4 Au 2.60-2.78
Ga  0.9238  0.4619  0.5960  1 Ga 2.56, 4 Au 2.60-2.78
Ga  0.5381  0.0762  0.5960  1 Ga 2.56, 4 Au 2.60-2.78
Ga  0.5381  0.4619  0.5960  1 Ga 2.56, 4 Au 2.60-2.78
Ga  0.0762  0.5381  0.4040  1 Ga 2.56, 4 Au 2.60-2.78
Ga  0.4619  0.9238  0.4040  1 Ga 2.56, 4 Au 2.60-2.78
Ga  0.4619  0.5381  0.4040  1 Ga 2.56, 4 Au 2.60-2.78
Ga  0.3883  0.1941  0.2500  4 Au 2.54-2.74
Ga  0.8059  0.6117  0.2500  4 Au 2.54-2.74
Ga  0.8059  0.1941  0.2500  4 Au 2.54-2.74
Ga  0.6117  0.8059  0.7500  4 Au 2.54-2.74
Ga  0.1941  0.3883  0.7500  4 Au 2.54-2.74
Ga  0.1941  0.8059  0.7500  4 Au 2.54-2.74
Au  0.6667  0.3333  0.0844  9 Ga 2.70-2.78
Au  0.3333  0.6667  0.9156  9 Ga 2.70-2.78
Au  0.3333  0.6667  0.5844  9 Ga 2.70-2.78
Au  0.6667  0.3333  0.4156  9 Ga 2.70-2.78
Au  0.1919  0.8081  0.2500  6 Ga 2.54-2.60
Au  0.6162  0.8081  0.2500  6 Ga 2.54-2.60
Au  0.1919  0.3838  0.2500  6 Ga 2.54-2.60
Au  0.8081  0.1919  0.7500  6 Ga 2.54-2.60
Au  0.3838  0.1919  0.7500  6 Ga 2.54-2.60
Au  0.8081  0.6162  0.7500  6 Ga 2.54-2.60

Entry 3:
AsSe2 at its PBEsol-relaxed geometry, computed with SCAN.

Results
- DOS at the Fermi energy (states/eV/cell) = 3.767
- formation energy (no corrections) (eV per atom) = 0.508
- mass density (g cm⁻³) = 6.7
- space-group type = P6_3/mmc

a b c (Å): 4.9305 4.9305 5.5026
angles (deg): 90.00 90.00 120.00
Closest atoms and distances in Å follow each position.
Atoms (fractional coordinates):
As  0.3333  0.6667  0.7500  5 Se 2.75-2.85
As  0.6667  0.3333  0.2500  5 Se 2.75-2.85
Se  0.0000  0.0000  0.0000  2 Se 2.75
Se  0.0000  0.0000  0.5000  2 Se 2.75
Se  0.6667  0.3333  0.7500  5 As 2.75-2.85
Se  0.3333  0.6667  0.2500  5 As 2.75-2.85

Entry 4:
AlFePO2 at its PBEsol-relaxed geometry, computed with SCAN.

Results
- DOS at the Fermi energy (states/eV/cell) = 2.153
- formation energy (no corrections) (eV per atom) = -0.672
- mass density (g cm⁻³) = 4.0
- space-group type = P4/mmm

a b c (Å): 3.5755 3.5755 4.7640
angles (deg): 90.00 90.00 90.00
Closest atoms and distances in Å follow each position.
Atoms (fractional coordinates):
P  0.0000  0.0000  0.5000  2 Fe 2.38, 4 Al 2.53
Fe  0.0000  0.0000  0.0000  4 O 1.79
O  0.0000  0.5000  0.0000  2 Fe 1.79
O  0.5000  0.0000  0.0000  2 Fe 1.79
Al  0.5000  0.5000  0.5000  4 P 2.53

Entry 5:
NaTe2As2 at its PBEsol-relaxed geometry, computed with SCAN.

Results
- DOS at the Fermi energy (states/eV/cell) = 3.677
- formation energy (no corrections) (eV per atom) = -0.106
- ΔE to the lowest computed polymorph (meV per atom) = 0
- mass density (g cm⁻³) = 5.5
- space-group type = P4/mbm

a b c (Å): 3.8108 8.2076 8.2076
angles (deg): 90.00 90.00 90.00
Closest atoms and distances in Å follow each position.
Atoms (fractional coordinates):
Na  0.0000  0.0000  0.0000  4 As 3.16, 8 Te 3.53
Na  0.0000  0.5000  0.5000  4 As 3.16, 8 Te 3.53
As  0.0000  0.3576  0.8576  2 Te 2.68
As  0.0000  0.8576  0.6424  2 Te 2.68
As  0.0000  0.6424  0.1424  2 Te 2.68
As  0.0000  0.1424  0.3576  2 Te 2.68
Te  0.5000  0.1956  0.6956  2 As 2.68
Te  0.5000  0.6956  0.8044  2 As 2.68
Te  0.5000  0.8044  0.3044  2 As 2.68
Te  0.5000  0.3044  0.1956  2 As 2.68

Entry 6:
Rh2C at its PBEsol-relaxed geometry, computed with SCAN.

Results
- DOS at the Fermi energy (states/eV/cell) = 3.201
- ΔE to the lowest computed polymorph (meV per atom) = 243
- mass density (g cm⁻³) = 10.2
- energy relative to the elements (meV/atom) = 382
- space-group type = C2/m

a b c (Å): 2.8676 4.9465 5.4390
angles (deg): 85.56 74.72 73.15
Closest atoms and distances in Å follow each position.
Atoms (fractional coordinates):
C  0.0713  0.2107  0.6467  5 Rh 1.95-2.05
C  0.9287  0.7893  0.3533  5 Rh 1.95-2.05
Rh  0.4150  0.2794  0.8906  2 C 1.95
Rh  0.7093  0.2136  0.3678  3 C 2.01-2.05
Rh  0.2907  0.7864  0.6322  3 C 2.01-2.05
Rh  0.5850  0.7206  0.1094  2 C 1.95

Entry 7:
CsFe3W at its PBEsol-relaxed geometry, computed with SCAN.

Results
- DOS at the Fermi energy (states/eV/cell) = 4.421
- mass density (g cm⁻³) = 8.9
- energy relative to the elements (meV/atom) = 3414
- space-group type = Pm-3m

a b c (Å): 4.4836 4.4836 4.4836
angles (deg): 90.00 90.00 90.00
Closest atoms and distances in Å follow each position.
Atoms (fractional coordinates):
Cs  0.0000  0.0000  0.0000  6 Fe 2.24
Fe  0.0000  0.5000  0.0000  2 Cs 2.24
Fe  0.0000  0.0000  0.5000  2 Cs 2.24
Fe  0.5000  0.0000  0.0000  2 Cs 2.24
W  0.5000  0.5000  0.5000  12 Fe 3.17

Entry 8:
CuAsPbO4 at its PBEsol-relaxed geometry, computed with SCAN.

Results
- DOS at the Fermi energy (states/eV/cell) = 0.000
- formation energy (no corrections) (eV per atom) = -1.198
- mass density (g cm⁻³) = 6.5
- space-group type = P-1

a b c (Å): 4.8825 5.7729 7.8208
angles (deg): 79.90 74.05 84.80
Closest atoms and distances in Å follow each position.
Atoms (fractional coordinates):
Cu  0.3738  0.8090  0.9921  2 O 1.83-1.84
Cu  0.6262  0.1910  0.0079  2 O 1.83-1.84
As  0.5813  0.7939  0.3125  4 O 1.70-1.74
As  0.4187  0.2061  0.6875  4 O 1.70-1.74
Pb  0.0761  0.2859  0.3129  5 O 2.38-2.64
Pb  0.9239  0.7141  0.6871  5 O 2.38-2.64
O  0.7813  0.0287  0.1845  1 As 1.74, 1 Cu 1.83
O  0.2187  0.9713  0.8155  1 As 1.74, 1 Cu 1.83
O  0.2231  0.3809  0.5610  1 As 1.70
O  0.4864  0.3772  0.8322  1 As 1.74, 1 Cu 1.84
O  0.7298  0.0915  0.5615  1 As 1.71
O  0.2702  0.9085  0.4385  1 As 1.71
O  0.7769  0.6191  0.4390  1 As 1.70
O  0.5136  0.6228  0.1678  1 As 1.74, 1 Cu 1.84

Entry 9:
Na2In2Au at its PBEsol-relaxed geometry, computed with SCAN.

Results
- DOS at the Fermi energy (states/eV/cell) = 4.079
- mass density (g cm⁻³) = 6.1
- energy relative to the elements (meV/atom) = -271
- space-group type = P4/mbm

a b c (Å): 5.1080 7.0936 7.0936
angles (deg): 90.00 90.00 90.00
Closest atoms and distances in Å follow each position.
Atoms (fractional coordinates):
Na  0.5000  0.1725  0.6725  6 In 3.15-3.40, 1 Na 3.46
Na  0.5000  0.6725  0.8275  6 In 3.15-3.40, 1 Na 3.46
Na  0.5000  0.8275  0.3275  6 In 3.15-3.40, 1 Na 3.46
Na  0.5000  0.3275  0.1725  6 In 3.15-3.40, 1 Na 3.46
Au  0.0000  0.0000  0.0000  4 In 2.73
Au  0.0000  0.5000  0.5000  4 In 2.73
In  0.0000  0.3570  0.8570  2 Au 2.73, 1 In 2.87
In  0.0000  0.8570  0.6430  2 Au 2.73, 1 In 2.87
In  0.0000  0.6430  0.1430  2 Au 2.73, 1 In 2.87
In  0.0000  0.1430  0.3570  2 Au 2.73, 1 In 2.87

Entry 10:
PI2 at its PBEsol-relaxed geometry, computed with SCAN.

Results
- DOS at the Fermi energy (states/eV/cell) = 0.000
- formation energy (no corrections) (eV per atom) = -0.025
- mass density (g cm⁻³) = 4.5
- space-group type = P-1

a b c (Å): 4.3478 7.2117 7.0566
angles (deg): 80.95 80.30 75.14
Closest atoms and distances in Å follow each position.
Atoms (fractional coordinates):
I  0.5667  0.3427  0.7722  1 P 2.49
I  0.4333  0.6573  0.2278  1 P 2.49
I  0.8167  0.8025  0.6880  1 P 2.49
I  0.1833  0.1975  0.3120  1 P 2.49
P  0.3850  0.0364  0.8649  1 P 2.23, 2 I 2.49
P  0.6150  0.9636  0.1351  1 P 2.23, 2 I 2.49

Entry 11:
NbBiTeN2 at its PBEsol-relaxed geometry, computed with SCAN.

Results
- DOS at the Fermi energy (states/eV/cell) = 3.010
- formation energy (no corrections) (eV per atom) = 1.764
- mass density (g cm⁻³) = 7.0
- space-group type = P4/mmm

a b c (Å): 4.2761 4.2761 5.9132
angles (deg): 90.00 90.00 90.00
Closest atoms and distances in Å follow each position.
Atoms (fractional coordinates):
Nb  0.5000  0.5000  0.5000  4 Te 3.02
Te  0.0000  0.0000  0.5000  2 Bi 2.96, 4 Nb 3.02
Bi  0.0000  0.0000  0.0000  4 N 2.14
N  0.0000  0.5000  0.0000  2 Bi 2.14
N  0.5000  0.0000  0.0000  2 Bi 2.14

Entry 12:
La3Sb5O12 at its PBEsol-relaxed geometry, computed with SCAN.

Results
- DOS at the Fermi energy (states/eV/cell) = 0.000
- formation energy (no corrections) (eV per atom) = -2.383
- mass density (g cm⁻³) = 5.9
- space-group type = I-43m

a b c (Å): 9.5966 9.5966 9.5966
angles (deg): 109.47 109.47 109.47
Closest atoms and distances in Å follow each position.
Atoms (fractional coordinates):
La  0.7500  0.2500  0.5000  4 O 2.36
La  0.2500  0.7500  0.5000  4 O 2.36
La  0.2500  0.5000  0.7500  4 O 2.36
La  0.7500  0.5000  0.2500  4 O 2.36
La  0.5000  0.2500  0.7500  4 O 2.36
La  0.5000  0.7500  0.2500  4 O 2.36
Sb  0.4949  0.0000  0.0000  3 O 2.03
Sb  0.5051  0.5051  0.5051  3 O 2.03
Sb  0.0000  0.0000  0.4949  3 O 2.03
Sb  0.0000  0.4949  0.0000  3 O 2.03
Sb  0.2768  0.2768  0.0000  2 O 1.98
Sb  0.7232  0.7232  0.0000  2 O 1.98
Sb  0.2768  0.0000  0.2768  2 O 1.98
Sb  0.7232  0.0000  0.7232  2 O 1.98
Sb  0.0000  0.7232  0.7232  2 O 1.98
Sb  0.0000  0.2768  0.2768  2 O 1.98
O  0.1988  0.7125  0.7125  1 Sb 1.98
O  0.8012  0.5137  0.5137  1 Sb 1.98
O  0.0000  0.2875  0.4863  1 Sb 1.98
O  0.4863  0.2875  0.0000  1 Sb 1.98
O  0.0000  0.4863  0.2875  1 Sb 1.98
O  0.2875  0.4863  0.0000  1 Sb 1.98
O  0.5137  0.5137  0.8012  1 Sb 1.98
O  0.7125  0.7125  0.1988  1 Sb 1.98
O  0.4863  0.0000  0.2875  1 Sb 1.98
O  0.7125  0.1988  0.7125  1 Sb 1.98
O  0.5137  0.8012  0.5137  1 Sb 1.98
O  0.2875  0.0000  0.4863  1 Sb 1.98
O  0.7275  0.1961  0.1961  2 Sb 2.03-2.22
O  0.2725  0.4687  0.4687  2 Sb 2.03-2.22
O  0.0000  0.8039  0.5313  2 Sb 2.03-2.22
O  0.5313  0.8039  0.0000  2 Sb 2.03-2.22
O  0.0000  0.5313  0.8039  2 Sb 2.03-2.22
O  0.8039  0.5313  0.0000  2 Sb 2.03-2.22
O  0.4687  0.4687  0.2725  2 Sb 2.03-2.22
O  0.1961  0.1961  0.7275  2 Sb 2.03-2.22
O  0.5313  0.0000  0.8039  2 Sb 2.03-2.22
O  0.1961  0.7275  0.1961  2 Sb 2.03-2.22
O  0.4687  0.2725  0.4687  2 Sb 2.03-2.22
O  0.8039  0.0000  0.5313  2 Sb 2.03-2.22